1.
Below is YAs2Se after structural relaxation, with properties calculated at the PBE-GGA level.

a = 5.8287 Å, b = 5.8191 Å, c = 4.1264 Å
α = 69.38°, β = 69.13°, γ = 41.50°
Closest atoms and distances in Å follow each position.
Atoms (fractional coordinates):
Y 0.0000 0.0000 0.0000  8 As 2.91-3.26, 4 Se 3.26
As 0.5000 0.5000 0.5000  4 Y 2.91-2.93, 4 As 3.26, 4 Se 3.26
As 0.7500 0.7500 0.7500  4 Se 2.91-2.93, 4 As 3.26, 4 Y 3.26
Se 0.2500 0.2500 0.2500  8 As 2.91-3.26, 4 Y 3.26

- DFT total energy: -5.36 eV/atom
- Spin magnetization: 0.0 μB/cell

2.
Below is Ac3Zn after structural relaxation, with properties calculated at the PBE-GGA level.

a = 7.6716 Å, b = 7.6716 Å, c = 5.7439 Å
α = 90.00°, β = 90.00°, γ = 120.00°
Closest atoms and distances in Å follow each position.
Atoms (fractional coordinates):
Ac 0.1770 0.3541 0.2500  4 Zn 3.54-3.84, 6 Ac 3.60-3.71
Ac 0.1770 0.8230 0.2500  4 Zn 3.54-3.84, 6 Ac 3.60-3.71
Ac 0.3541 0.1770 0.7500  4 Zn 3.54-3.84, 6 Ac 3.60-3.71
Ac 0.6459 0.8230 0.2500  4 Zn 3.54-3.84, 6 Ac 3.60-3.71
Ac 0.8230 0.1770 0.7500  4 Zn 3.54-3.84, 6 Ac 3.60-3.71
Ac 0.8230 0.6459 0.7500  4 Zn 3.54-3.84, 6 Ac 3.60-3.71
Zn 0.3333 0.6667 0.7500  12 Ac 3.54-3.84
Zn 0.6667 0.3333 0.2500  12 Ac 3.54-3.84

- Formation energy from the elements: 62.0 meV per atom
- Excess energy over the best structure of this formula in the dataset: 175 meV/atom
- Spin magnetization: 0.0 μB/cell

3.
Below is Ga5SnHg after structural relaxation, with properties calculated at the PBE-GGA level.

a = 4.3197 Å, b = 4.3197 Å, c = 8.3757 Å
α = 90.00°, β = 90.00°, γ = 90.00°
Closest atoms and distances in Å follow each position.
Atoms (fractional coordinates):
Ga 0.0000 0.0000 0.0000  8 Ga 3.05, 4 Hg 3.05
Ga 0.0000 0.5000 0.2577  2 Sn 2.96, 2 Hg 3.05, 6 Ga 3.05
Ga 0.0000 0.5000 0.7423  2 Sn 2.96, 2 Hg 3.05, 6 Ga 3.05
Ga 0.5000 0.0000 0.2577  2 Sn 2.96, 2 Hg 3.05, 6 Ga 3.05
Ga 0.5000 0.0000 0.7423  2 Sn 2.96, 2 Hg 3.05, 6 Ga 3.05
Sn 0.0000 0.0000 0.5000  8 Ga 2.96
Hg 0.5000 0.5000 0.0000  12 Ga 3.05

- Formation energy from the elements: 96.7 meV per atom
- Spin magnetization: 0.0 μB/cell

4.
Below is LaRe2W after structural relaxation, with properties calculated at the PBE-GGA level.

a = 4.7711 Å, b = 4.7711 Å, c = 3.2559 Å
α = 90.00°, β = 90.00°, γ = 90.00°
Closest atoms and distances in Å follow each position.
Atoms (fractional coordinates):
La 0.0000 0.0000 0.0000  8 Re 2.89
Re 0.0000 0.5000 0.5000  4 La 2.89, 4 W 2.89
Re 0.5000 0.0000 0.5000  4 La 2.89, 4 W 2.89
W 0.5000 0.5000 0.0000  8 Re 2.89

- Formation energy from the elements: 740.8 meV per atom
- Excess energy over the best structure of this formula in the dataset: 405 meV/atom
- Spin magnetization: 0.0 μB/cell

5.
Below is LaPuSe2O after structural relaxation, with properties calculated at the PBE-GGA level.

a = 4.0946 Å, b = 4.0946 Å, c = 14.8597 Å
α = 90.00°, β = 90.00°, γ = 90.00°
Closest atoms and distances in Å follow each position.
Atoms (fractional coordinates):
La 0.2500 0.2500 0.1306  5 Se 2.85-2.96
La 0.7500 0.7500 0.8694  5 Se 2.85-2.96
Pu 0.2500 0.2500 0.5752  4 O 2.33
Pu 0.7500 0.7500 0.4248  4 O 2.33
Se 0.2500 0.2500 0.3226  1 La 2.85
Se 0.2500 0.2500 0.9116  5 La 2.96-3.25
Se 0.7500 0.7500 0.0884  5 La 2.96-3.25
Se 0.7500 0.7500 0.6774  1 La 2.85
O 0.2500 0.7500 0.5000  4 Pu 2.33
O 0.7500 0.2500 0.5000  4 Pu 2.33

- DFT total energy: -8.46 eV/atom
- Spin magnetization: 9.6 μB/cell

6.
Below is RbPmSnBr6 after structural relaxation, with properties calculated at the PBE-GGA level.

a = 7.3365 Å, b = 7.3365 Å, c = 13.7626 Å
α = 90.00°, β = 90.00°, γ = 90.00°
Closest atoms and distances in Å follow each position.
Atoms (fractional coordinates):
Rb 0.0000 0.0000 0.0000  6 Br 3.37-3.44
Rb 0.5000 0.5000 0.5000  6 Br 3.37-3.44
Pm 0.0000 0.0000 0.3347  6 Br 2.89-2.92
Pm 0.5000 0.5000 0.8347  6 Br 2.89-2.92
Sn 0.0000 0.0000 0.6686  6 Br 2.95-3.09
Sn 0.5000 0.5000 0.1686  6 Br 2.95-3.09
Br 0.1754 0.1754 0.5004  1 Pm 2.92, 1 Sn 2.95
Br 0.2081 0.2081 0.1942  1 Pm 2.90, 1 Sn 3.05
Br 0.2226 0.2226 0.8180  1 Pm 2.89, 1 Sn 3.09
Br 0.2774 0.7226 0.3180  1 Pm 2.89, 1 Sn 3.09
Br 0.2919 0.7081 0.6942  1 Pm 2.90, 1 Sn 3.05
Br 0.3246 0.6754 0.0004  1 Pm 2.92, 1 Sn 2.95
Br 0.6754 0.3246 0.0004  1 Pm 2.92, 1 Sn 2.95
Br 0.7081 0.2919 0.6942  1 Pm 2.90, 1 Sn 3.05
Br 0.7226 0.2774 0.3180  1 Pm 2.89, 1 Sn 3.09
Br 0.7774 0.7774 0.8180  1 Pm 2.89, 1 Sn 3.09
Br 0.7919 0.7919 0.1942  1 Pm 2.90, 1 Sn 3.05
Br 0.8246 0.8246 0.5004  1 Pm 2.92, 1 Sn 2.95

- DFT total energy: -3.66 eV/atom
- Spin magnetization: 0.0 μB/cell